The following is a PBE calculation of an optimized crystal structure of MnAlSi4, from Alexandria.

## Properties
energy = -32.21 eV per cell
mass density = 3.68 g/cm3
uncorrected formation energy = 2.39 eV/f.u.

Unit cell a=4.986 b=4.986 c=4.986 alpha=60.00 beta=60.00 gamma=60.00
Sites, in units of the cell vectors:
Mn (0.000, 0.000, 0.000)
Al (0.250, 0.250, 0.250)
Si (0.124, 0.625, 0.625)
Si (0.625, 0.124, 0.625)
Si (0.625, 0.625, 0.124)
Si (0.625, 0.625, 0.625)